[1]
Os3PdSe, relaxed, DFT GGA-PBEsol; uncorrected formation energy = 1.91 eV/atom; symmetry = Pm-3m, No. 221
1.0
4.454 0.000 0.000
0.000 4.454 0.000
0.000 0.000 4.454
Os Se Pd
3 1 1
Cartesian
0.000 2.227 0.000
0.000 0.000 2.227
2.227 0.000 0.000
0.000 0.000 0.000
2.227 2.227 2.227

***

[2]
YZn2SnAu, relaxed, DFT GGA-PBEsol; ΔE_f = -0.052 eV/atom; symmetry = P4/mmm, No. 123
1.0
4.768 0.000 0.000
0.000 4.768 0.000
0.000 0.000 5.419
Y Zn Au Sn
1 2 1 1
Cartesian
0.000 0.000 2.709
0.000 2.384 0.000
2.384 0.000 0.000
0.000 0.000 0.000
2.384 2.384 2.709

***

[3]
LiGeSbTe2, relaxed, DFT GGA-PBEsol; uncorrected formation energy = 0.35 eV/atom; symmetry = P4/mmm, No. 123
1.0
-0.224 1.210 -4.582
0.362 -4.918 -1.317
-5.085 -0.412 0.140
Sb Ge Te Li
1 1 2 1
Cartesian
-0.112 0.605 -2.291
-2.474 -2.060 -2.879
-2.543 -0.206 0.070
0.181 -2.459 -0.658
0.000 0.000 0.000

***

[4]
NbAuBr2, relaxed, DFT GGA-PBEsol; uncorrected formation energy = 0.40 eV/atom; symmetry = Fm-3m, No. 225
1.0
4.751 0.000 0.000
2.375 4.114 0.000
2.375 1.371 3.879
Nb Au Br
1 1 2
Cartesian
0.000 0.000 0.000
4.751 2.743 1.940
2.375 1.371 0.970
7.126 4.114 2.909

***

Size of the total moment (μB/atom)
0.281 0.000 0.000 0.001
Volume (Å³ per atom)
17.674 24.636 24.718 18.955